Record 1
A relaxed P4Se3Br2 crystal. Source: the Alexandria database, functional GGA-PBEsol.

Values from the calculation:
**Formation energy from raw total energies**: -0.1146 eV/atom
**Raw total energy**: -157.95 eV/cell
**Size of the total moment**: 0.0 μB per cell
**Space-group type**: C2/c

Lattice parameters (Å, degrees): 9.6010 9.6010 12.2580 106.75 106.75 99.55
Last column: nearest neighbours and their distance in Å.
Positions (direct):
Br1 0.9679 0.2425 0.0820  1 P 2.29
Br2 0.7575 0.0321 0.4180  1 P 2.29
Br3 0.0321 0.7575 0.9180  1 P 2.29
Br4 0.2425 0.9679 0.5820  1 P 2.29
Br5 0.6578 0.8873 0.0461  1 P 2.27
Br6 0.1127 0.3422 0.4539  1 P 2.27
Br7 0.3422 0.1127 0.9539  1 P 2.27
Br8 0.8873 0.6578 0.5461  1 P 2.27
P1 0.8570 0.3251 0.9296  1 P 2.19, 1 Se 2.28, 1 Br 2.29
P2 0.6749 0.1430 0.5704  1 P 2.19, 1 Se 2.28, 1 Br 2.29
P3 0.1430 0.6749 0.0704  1 P 2.19, 1 Se 2.28, 1 Br 2.29
P4 0.3251 0.8570 0.4296  1 P 2.19, 1 Se 2.28, 1 Br 2.29
P5 0.7121 0.9848 0.6671  1 P 2.19, 2 Se 2.25-2.27
P6 0.0152 0.2879 0.8329  1 P 2.19, 2 Se 2.25-2.27
P7 0.2879 0.0152 0.3329  1 P 2.19, 2 Se 2.25-2.27
P8 0.9848 0.7121 0.1671  1 P 2.19, 2 Se 2.25-2.27
P9 0.6031 0.6426 0.9239  1 P 2.20, 1 Br 2.27, 1 Se 2.29
P10 0.3574 0.3969 0.5761  1 P 2.20, 1 Br 2.27, 1 Se 2.29
P11 0.3969 0.3574 0.0761  1 P 2.20, 1 Br 2.27, 1 Se 2.29
P12 0.6426 0.6031 0.4239  1 P 2.20, 1 Br 2.27, 1 Se 2.29
P13 0.4099 0.6437 0.6265  1 P 2.20, 2 Se 2.25-2.27
P14 0.3563 0.5901 0.8735  1 P 2.20, 2 Se 2.25-2.27
P15 0.5901 0.3563 0.3735  1 P 2.20, 2 Se 2.25-2.27
P16 0.6437 0.4099 0.1265  1 P 2.20, 2 Se 2.25-2.27
Se1 0.6444 0.1304 0.8146  2 P 2.27-2.28
Se2 0.8696 0.3556 0.6854  2 P 2.27-2.28
Se3 0.3556 0.8696 0.1854  2 P 2.27-2.28
Se4 0.1304 0.6444 0.3146  2 P 2.27-2.28
Se5 0.9647 0.0353 0.7500  2 P 2.25
Se6 0.0353 0.9647 0.2500  2 P 2.25
Se7 0.6442 0.6673 0.7543  2 P 2.27-2.29
Se8 0.3327 0.3558 0.7457  2 P 2.27-2.29
Se9 0.3558 0.3327 0.2457  2 P 2.27-2.29
Se10 0.6673 0.6442 0.2543  2 P 2.27-2.29
Se11 0.2814 0.7186 0.7500  2 P 2.25
Se12 0.7186 0.2814 0.2500  2 P 2.25

Record 2
A relaxed Tb3Hg crystal. Source: the Alexandria database, functional GGA-PBEsol.

Values from the calculation:
**Raw total energy**: -16.48 eV/cell
**Size of the total moment**: 0.0 μB per cell
**Formation enthalpy at 0 K**: -0.2217 eV per atom
**Space-group type**: Pm-3m

Lattice parameters (Å, degrees): 4.7095 4.7095 4.7095 90.00 90.00 90.00
Last column: nearest neighbours and their distance in Å.
Positions (direct):
Tb1 0.0000 0.5000 0.5000  4 Hg 3.33, 8 Tb 3.33
Tb2 0.5000 0.0000 0.5000  4 Hg 3.33, 8 Tb 3.33
Tb3 0.5000 0.5000 0.0000  4 Hg 3.33, 8 Tb 3.33
Hg1 0.0000 0.0000 0.0000  12 Tb 3.33

Record 3
A relaxed KCo2Ru crystal. Source: the Alexandria database, functional GGA-PBEsol.

Values from the calculation:
**Raw total energy**: -23.55 eV/cell
**Size of the total moment**: 3.5 μB per cell
**Formation enthalpy at 0 K**: 0.8068 eV per atom
**Space-group type**: Pmm2

Lattice parameters (Å, degrees): 2.6212 3.2289 7.8090 90.00 90.00 90.00
Last column: nearest neighbours and their distance in Å.
Positions (direct):
Co1 0.0000 0.0000 0.0154  6 Co 2.35-2.62, 4 Ru 2.50
Co2 0.5000 0.5000 0.1549  6 Co 2.35-2.62, 1 Ru 2.48
K1 0.0000 0.0000 0.4921  2 K 2.62
Ru1 0.5000 0.5000 0.8376  5 Co 2.48-2.50, 2 Ru 2.62

Record 4
A relaxed YTeMo2 crystal. Source: the Alexandria database, functional GGA-PBEsol.

Values from the calculation:
**Formation energy from raw total energies**: 0.2269 eV/atom
**Raw total energy**: -32.98 eV/cell
**Size of the total moment**: 0.0 μB per cell
**Space-group type**: P2/m

Lattice parameters (Å, degrees): 3.4483 4.8719 4.9981 90.00 92.03 90.00
Last column: nearest neighbours and their distance in Å.
Positions (direct):
Mo1 0.5837 0.0000 0.7225  1 Mo 2.28
Mo2 0.4163 0.0000 0.2775  1 Mo 2.28
Te1 0.5000 0.5000 0.0000  4 Mo 2.82, 4 Y 2.99-3.09
Y1 0.0000 0.5000 0.5000  4 Te 2.99-3.09, 8 Mo 3.06-3.33